# Ho8Th4Mg GGA-PBE relaxed
data_Ho8Th4Mg
_cell_length_a 7.3027
_cell_length_b 7.3027
_cell_length_c 26.7263
_cell_angle_alpha 90.00
_cell_angle_beta 90.00
_cell_angle_gamma 120.00
_space_group_name_H-M_alt 'R -3 m'
_space_group_IT_number 166
_space_group_name_Hall '-R 3 2"'
loop_
_atom_site_label
_atom_site_type_symbol
_atom_site_fract_x
_atom_site_fract_y
_atom_site_fract_z
Ho1 Ho 0.0000 0.0000 0.2191
Ho2 Ho 0.0308 0.5154 0.7675
Th1 Th 0.0000 0.0000 0.0000
Th2 Th 0.0000 0.5000 0.0000
Mg1 Mg 0.0000 0.0000 0.5000
# volume: 411.4 Å³/f.u.
# DFT total energy: -5.059 eV/atom
# M_tot: 0.0 μB/f.u.

---

# Ho2ThMg6 GGA-PBE relaxed
data_Ho2ThMg6
_cell_length_a 9.0685
_cell_length_b 9.0685
_cell_length_c 3.3108
_cell_angle_alpha 90.00
_cell_angle_beta 90.00
_cell_angle_gamma 120.00
_space_group_name_H-M_alt 'P 6/m m m'
_space_group_IT_number 191
_space_group_name_Hall '-P 6 2'
loop_
_atom_site_label
_atom_site_type_symbol
_atom_site_fract_x
_atom_site_fract_y
_atom_site_fract_z
Ho1 Ho 0.3333 0.6667 0.0000
Th1 Th 0.0000 0.0000 0.0000
Mg1 Mg 0.0000 0.3359 0.5000
# volume: 235.8 Å³/f.u.
# DFT total energy: -2.936 eV/atom
# M_tot: 0.0 μB/f.u.

---

# Ho2ThMg GGA-PBE relaxed
data_Ho2ThMg
_cell_length_a 7.812
_cell_length_b 7.812
_cell_length_c 7.812
_cell_angle_alpha 90.00
_cell_angle_beta 90.00
_cell_angle_gamma 90.00
_space_group_name_H-M_alt 'F m -3 m'
_space_group_IT_number 225
_space_group_name_Hall '-F 4 2 3'
loop_
_atom_site_label
_atom_site_type_symbol
_atom_site_fract_x
_atom_site_fract_y
_atom_site_fract_z
Ho1 Ho 0.250 0.250 0.250
Th1 Th 0.000 0.000 0.000
Mg1 Mg 0.000 0.000 0.500
# relative energy among the computed polymorphs: 216 meV/atom
# volume: 119.2 Å³/f.u.
# M_tot: 1.2 μB/f.u.

---

# HoThMg GGA-PBE relaxed
data_HoThMg
_cell_length_a 3.546
_cell_length_b 3.546
_cell_length_c 13.814
_cell_angle_alpha 90.00
_cell_angle_beta 90.00
_cell_angle_gamma 90.00
_space_group_name_H-M_alt 'P 4/n m m'
_space_group_IT_number 129
loop_
_space_group_symop_operation_xyz
'x,y,z'
'-x,-y,-z'
'-y+1/2,x,z'
'y+1/2,-x,-z'
'-x+1/2,-y+1/2,z'
'x+1/2,y+1/2,-z'
'y,-x+1/2,z'
'-y,x+1/2,-z'
'x+1/2,-y,-z'
'-x+1/2,y,z'
'-y,-x,-z'
'y,x,z'
'-x,y+1/2,-z'
'x,-y+1/2,z'
'y+1/2,x+1/2,-z'
'-y+1/2,-x+1/2,z'
loop_
_atom_site_label
_atom_site_type_symbol
_atom_site_fract_x
_atom_site_fract_y
_atom_site_fract_z
Ho1 Ho 0.250 0.250 0.230
Th1 Th 0.250 0.250 0.590
Mg1 Mg 0.250 0.250 0.934
# relative energy among the computed polymorphs: 0 meV/atom
# volume: 86.9 Å³/f.u.
# M_tot: 0.0 μB/f.u.

---

# Ho4ThMg GGA-PBE relaxed
data_Ho4ThMg
_cell_length_a 3.563
_cell_length_b 3.563
_cell_length_c 14.254
_cell_angle_alpha 90.00
_cell_angle_beta 90.00
_cell_angle_gamma 90.00
_space_group_name_H-M_alt 'P 4/m m m'
_space_group_IT_number 123
_space_group_name_Hall '-P 4 2'
loop_
_atom_site_label
_atom_site_type_symbol
_atom_site_fract_x
_atom_site_fract_y
_atom_site_fract_z
Ho1 Ho 0.000 0.000 0.152
Ho2 Ho 0.500 0.500 0.328
Th1 Th 0.000 0.000 0.500
Mg1 Mg 0.500 0.500 0.000
# relative energy among the computed polymorphs: 0 meV/atom
# volume: 180.9 Å³/f.u.
# M_tot: 0.0 μB/f.u.

---

# HoThMgTl GGA-PBE relaxed
data_HoThMgTl
_cell_length_a 7.648
_cell_length_b 7.648
_cell_length_c 7.648
_cell_angle_alpha 90.00
_cell_angle_beta 90.00
_cell_angle_gamma 90.00
_space_group_name_H-M_alt 'F -4 3 m'
_space_group_IT_number 216
_space_group_name_Hall 'F -4 2 3'
loop_
_atom_site_label
_atom_site_type_symbol
_atom_site_fract_x
_atom_site_fract_y
_atom_site_fract_z
Ho1 Ho 0.000 0.000 0.000
Th1 Th 0.000 0.000 0.500
Mg1 Mg 0.250 0.250 0.750
Tl1 Tl 0.250 0.250 0.250
# volume: 111.8 Å³/f.u.
# DFT total energy: -4.080 eV/atom
# M_tot: 0.0 μB/f.u.

---

# Ho2Tm2ThMg5 GGA-PBE relaxed
data_Ho2Tm2ThMg5
_cell_length_a 10.469
_cell_length_b 10.469
_cell_length_c 5.152
_cell_angle_alpha 90.00
_cell_angle_beta 90.00
_cell_angle_gamma 90.00
_space_group_name_H-M_alt 'P 4/m b m'
_space_group_IT_number 127
_space_group_name_Hall '-P 4 2ab'
loop_
_atom_site_label
_atom_site_type_symbol
_atom_site_fract_x
_atom_site_fract_y
_atom_site_fract_z
Ho1 Ho 0.178 0.322 0.000
Tm1 Tm 0.118 0.618 0.000
Th1 Th 0.000 0.000 0.000
Mg1 Mg 0.000 0.500 0.500
Mg2 Mg 0.076 0.802 0.500
# volume: 282.3 Å³/f.u.
# DFT total energy: -3.223 eV/atom
# M_tot: 0.0 μB/f.u.

---

# HoTmThMg GGA-PBE relaxed
data_HoTmThMg
_cell_length_a 3.563
_cell_length_b 3.563
_cell_length_c 9.188
_cell_angle_alpha 90.00
_cell_angle_beta 90.00
_cell_angle_gamma 90.00
_space_group_name_H-M_alt 'P 4 m m'
_space_group_IT_number 99
loop_
_space_group_symop_operation_xyz
'x,y,z'
'-y,x,z'
'-x,-y,z'
'y,-x,z'
'-x,y,z'
'y,x,z'
'x,-y,z'
'-y,-x,z'
loop_
_atom_site_label
_atom_site_type_symbol
_atom_site_fract_x
_atom_site_fract_y
_atom_site_fract_z
Ho1 Ho 0.000 0.000 0.000
Tm1 Tm 0.000 0.000 0.521
Th1 Th 0.500 0.500 0.262
Mg1 Mg 0.500 0.500 0.758
# relative energy among the computed polymorphs: 0 meV/atom
# volume: 116.6 Å³/f.u.
# M_tot: 0.0 μB/f.u.

---

> M_tot of number 2 (Ho2ThMg6)?

0.0 μB/f.u.